# GGA-PBE Sr4Nb2O9, relaxed
# - uncorrected formation energy (eV/atom) = -2.8521
# - SG = C2/c (15)
# - ΔE to the lowest computed polymorph (meV/atom) = 25
# - DOS at the Fermi energy (states/eV/f.u.) = 0.00
data_Sr4Nb2O9
_symmetry_space_group_name_H-M 'P 1'
_symmetry_Int_Tables_number 1
_symmetry_space_group_name_Hall 'P 1'
_cell_length_a 10.323
_cell_length_b 10.323
_cell_length_c 10.364
_cell_angle_alpha 99.75
_cell_angle_beta 99.75
_cell_angle_gamma 120.55
loop_
_atom_site_label
_atom_site_fract_x
_atom_site_fract_y
_atom_site_fract_z
_atom_site_occupancy
Sr1 0.045 0.195 0.627 1
Sr2 0.107 0.893 0.750 1
Sr3 0.157 0.609 0.873 1
Sr4 0.195 0.045 0.127 1
Sr5 0.258 0.742 0.250 1
Sr6 0.292 0.448 0.381 1
Sr7 0.391 0.843 0.627 1
Sr8 0.448 0.292 0.881 1
Sr9 0.552 0.708 0.119 1
Sr10 0.609 0.157 0.373 1
Sr11 0.708 0.552 0.619 1
Sr12 0.742 0.258 0.750 1
Sr13 0.805 0.955 0.873 1
Sr14 0.843 0.391 0.127 1
Sr15 0.893 0.107 0.250 1
Sr16 0.955 0.805 0.373 1
Nb1 0.000 0.500 0.500 1
Nb2 0.167 0.327 0.999 1
Nb3 0.327 0.167 0.499 1
Nb4 0.424 0.576 0.750 1
Nb5 0.500 0.000 0.000 1
Nb6 0.576 0.424 0.250 1
Nb7 0.673 0.833 0.501 1
Nb8 0.833 0.673 0.001 1
O1 0.024 0.719 0.119 1
O2 0.068 0.491 0.329 1
O3 0.102 0.733 0.537 1
O4 0.104 0.244 0.143 1
O5 0.134 0.153 0.403 1
O6 0.153 0.134 0.903 1
O7 0.221 0.552 0.619 1
O8 0.244 0.104 0.643 1
O9 0.255 0.552 0.080 1
O10 0.267 0.898 0.963 1
O11 0.269 0.423 0.829 1
O12 0.281 0.976 0.381 1
O13 0.403 0.412 0.606 1
O14 0.412 0.403 0.106 1
O15 0.423 0.269 0.329 1
O16 0.448 0.745 0.420 1
O17 0.448 0.779 0.881 1
O18 0.491 0.068 0.829 1
O19 0.509 0.932 0.171 1
O20 0.552 0.221 0.119 1
O21 0.552 0.255 0.580 1
O22 0.577 0.731 0.671 1
O23 0.588 0.597 0.894 1
O24 0.597 0.588 0.394 1
O25 0.719 0.024 0.619 1
O26 0.731 0.577 0.171 1
O27 0.733 0.102 0.037 1
O28 0.745 0.448 0.920 1
O29 0.756 0.896 0.357 1
O30 0.779 0.448 0.381 1
O31 0.847 0.866 0.097 1
O32 0.866 0.847 0.597 1
O33 0.896 0.756 0.857 1
O34 0.898 0.267 0.463 1
O35 0.932 0.509 0.671 1
O36 0.976 0.281 0.881 1


# GGA-PBE SrNbO3, relaxed
# - uncorrected formation energy (eV/atom) = -1.8351
# - SG = I-4m2 (119)
# - DOS at the Fermi energy (states/eV/f.u.) = 1.57
data_SrNbO3
_symmetry_space_group_name_H-M 'P 1'
_symmetry_Int_Tables_number 1
_symmetry_space_group_name_Hall 'P 1'
_cell_length_a 7.516
_cell_length_b 7.516
_cell_length_c 7.516
_cell_angle_alpha 143.30
_cell_angle_beta 143.30
_cell_angle_gamma 52.87
loop_
_atom_site_label
_atom_site_fract_x
_atom_site_fract_y
_atom_site_fract_z
_atom_site_occupancy
Sr1 0.108 0.108 0.000 1
Sr2 0.892 0.892 0.000 1
Nb1 0.500 0.500 0.000 1
Nb2 0.750 0.250 0.500 1
O1 0.034 0.534 0.500 1
O2 0.122 0.356 0.766 1
O3 0.466 0.966 0.500 1
O4 0.591 0.356 0.234 1
O5 0.644 0.409 0.766 1
O6 0.644 0.878 0.234 1


# GGA-PBE SrNbO3, relaxed
# - uncorrected formation energy (eV/atom) = -2.1616
# - SG = P6_3/mmc (194)
# - DOS at the Fermi energy (states/eV/f.u.) = 1.63
data_SrNbO3
_symmetry_space_group_name_H-M 'P 1'
_symmetry_Int_Tables_number 1
_symmetry_space_group_name_Hall 'P 1'
_cell_length_a 4.019
_cell_length_b 4.019
_cell_length_c 8.658
_cell_angle_alpha 90.00
_cell_angle_beta 90.00
_cell_angle_gamma 120.00
loop_
_atom_site_label
_atom_site_fract_x
_atom_site_fract_y
_atom_site_fract_z
_atom_site_occupancy
Sr1 0.333 0.667 0.250 1
Sr2 0.667 0.333 0.750 1
Nb1 0.000 0.000 0.000 1
Nb2 0.000 0.000 0.500 1
O1 0.000 0.000 0.250 1
O2 0.000 0.000 0.750 1
O3 0.333 0.667 0.541 1
O4 0.333 0.667 0.959 1
O5 0.667 0.333 0.041 1
O6 0.667 0.333 0.459 1


# GGA-PBE SrNbO3, relaxed
# - uncorrected formation energy (eV/atom) = -2.7634
# - SG = Pm-3m (221)
# - DOS at the Fermi energy (states/eV/f.u.) = 1.30
data_SrNbO3
_symmetry_space_group_name_H-M 'P 1'
_symmetry_Int_Tables_number 1
_symmetry_space_group_name_Hall 'P 1'
_cell_length_a 4.090
_cell_length_b 4.090
_cell_length_c 4.090
_cell_angle_alpha 90.00
_cell_angle_beta 90.00
_cell_angle_gamma 90.00
loop_
_atom_site_label
_atom_site_fract_x
_atom_site_fract_y
_atom_site_fract_z
_atom_site_occupancy
Sr1 0.000 0.000 0.000 1
Nb1 0.500 0.500 0.500 1
O1 0.000 0.500 0.500 1
O2 0.500 0.000 0.500 1
O3 0.500 0.500 0.000 1